[1]
CaTlRu2 | PBE | optimized geometry

E_form ... 0.506 eV/atom
Total moment ... 0.08 μB per cell
ΔE to the lowest computed polymorph ... 313.4 meV/atom
E_tot ... -5.2243 eV per atom

Cell lengths 6.6771, 6.6771, 6.6771 Å; angles 90.00, 90.00, 90.00 degrees
Last column: nearest neighbours and their distance in Å.
Space group Fm-3m (No. 225)
One atom of each set of equivalent atoms:
Ca  0.0000  0.0000  0.0000 (multiplicity 4)  8 Ru 2.89
Tl  0.0000  0.0000  0.5000 (multiplicity 4)  8 Ru 2.89
Ru  0.2500  0.2500  0.2500 (multiplicity 8)  4 Tl 2.89, 4 Ca 2.89



[2]
Tb2PrTe2 | PBE | optimized geometry

Formation energy (no corrections) ... -398.3 kJ/mol of formula units
Total moment ... 0.00 μB per cell
E_tot ... -4.8903 eV per atom

Cell lengths 7.1942, 6.0178, 7.5108 Å; angles 90.00, 105.19, 90.00 degrees
Last column: nearest neighbours and their distance in Å.
Space group C2/m (No. 12)
One atom of each set of equivalent atoms:
Tb  0.0000  0.2477  0.0000 (multiplicity 4)  2 Tb 2.98-3.04, 4 Te 3.13-3.14
Pr  0.0000  0.0000  0.5000 (multiplicity 2)  6 Te 3.19-3.48
Te  0.1705  0.5000  0.7131 (multiplicity 4)  4 Tb 3.13-3.14, 3 Pr 3.19-3.48, 1 Te 3.49



[3]
K2SrAlAs | PBE | optimized geometry

E_form ... 0.186 eV/atom
Total moment ... 0.00 μB per cell
E_tot ... -2.2675 eV per atom

Cell lengths 6.6439, 6.6439, 5.0465 Å; angles 90.00, 90.00, 90.00 degrees
Last column: nearest neighbours and their distance in Å.
Space group P4/mmm (No. 123)
One atom of each set of equivalent atoms:
K  0.0000  0.5000  0.0000 (multiplicity 2)  2 Al 3.32
Sr  0.0000  0.0000  0.5000 (multiplicity 1)  8 K 4.17
Al  0.5000  0.5000  0.0000 (multiplicity 1)  2 As 2.52
As  0.5000  0.5000  0.5000 (multiplicity 1)  2 Al 2.52



[4]
La2AgIr | PBE | optimized geometry

E_form ... -0.508 eV/atom
Total moment ... 0.00 μB per cell
ΔE to the lowest computed polymorph ... 17.4 meV/atom
E_tot ... -5.8996 eV per atom

Cell lengths 4.6936, 4.6936, 5.8497 Å; angles 90.00, 90.00, 120.00 degrees
Last column: nearest neighbours and their distance in Å.
Space group P-3m1 (No. 164)
One atom of each set of equivalent atoms:
La  0.3333  0.6667  0.2846 (multiplicity 2)  3 Ir 2.99, 3 Ag 3.18
Ag  0.0000  0.0000  0.0000 (multiplicity 1)  2 Ir 2.92, 6 La 3.18
Ir  0.0000  0.0000  0.5000 (multiplicity 1)  2 Ag 2.92, 6 La 2.99



[5]
PmNd3Sm6Dy2 | PBE | optimized geometry

E_form ... 0.015 eV/atom
Total moment ... 0.00 μB per cell
E_tot ... -4.6998 eV per atom

Cell lengths 6.2882, 10.8898, 12.0398 Å; angles 90.00, 100.05, 90.00 degrees
Last column: nearest neighbours and their distance in Å.
Space group C2/m (No. 12)
One atom of each set of equivalent atoms:
Pm  0.0000  0.0000  0.0000 (multiplicity 2)  6 Sm 3.60-3.61, 6 Dy 3.63
Nd  0.0000  0.1669  0.5000 (multiplicity 4)  6 Nd 3.63, 6 Sm 3.65-3.66
Nd  0.0000  0.5000  0.5000 (multiplicity 2)  6 Nd 3.63, 6 Sm 3.66
Sm  0.2489  0.5000  0.2472 (multiplicity 4)  2 Dy 3.60, 1 Pm 3.60, 6 Sm 3.63-3.64, 3 Nd 3.66
Sm  0.2498  0.1670  0.2472 (multiplicity 8)  2 Dy 3.60, 1 Pm 3.61, 6 Sm 3.63-3.64, 3 Nd 3.65-3.66
Dy  0.0000  0.3334  0.0000 (multiplicity 4)  6 Sm 3.60, 3 Dy 3.63, 3 Pm 3.63